[1]
Entry from Alexandria: an optimized crystal structure of SrCuTe (PBE).

Values from the calculation:
For the energy above the most stable polymorph in this dataset, the calculation gives 0.413 eV per atom.

The structure in CIF format:
```
data_SrCuTe
_cell_length_a 7.382
_cell_length_b 7.382
_cell_length_c 7.382
_cell_angle_alpha 90.00
_cell_angle_beta 90.00
_cell_angle_gamma 90.00
_symmetry_space_group_name_H-M 'F -4 3 m'
_symmetry_Int_Tables_number 216
_symmetry_space_group_name_Hall 'F -4 2 3'
loop_
_atom_site_label
_atom_site_type_symbol
_atom_site_fract_x
_atom_site_fract_y
_atom_site_fract_z
_atom_site_occupancy
Sr1 Sr 0.000 0.000 0.000 1
Cu1 Cu 0.250 0.250 0.250 1
Te1 Te 0.250 0.250 0.750 1
```



[2]
Entry from Alexandria: an optimized crystal structure of SrCu2Te (PBE).

The structure in CIF format:
```
data_SrCu2Te
_cell_length_a 11.662
_cell_length_b 4.336
_cell_length_c 4.334
_cell_angle_alpha 90.00
_cell_angle_beta 111.74
_cell_angle_gamma 90.00
_symmetry_space_group_name_H-M 'C 1 m 1'
_symmetry_Int_Tables_number 8
_symmetry_space_group_name_Hall 'C -2y'
loop_
_atom_site_label
_atom_site_type_symbol
_atom_site_fract_x
_atom_site_fract_y
_atom_site_fract_z
_atom_site_occupancy
Sr1 Sr 0.000 0.000 0.000 1
Cu1 Cu 0.110 0.500 0.611 1
Cu2 Cu 0.389 0.000 0.390 1
Te1 Te 0.250 0.500 0.250 1
```



Formation energy without anion corrections (eV/atom)
-0.29 -0.39
Calculated total energy (eV for the cell shown)
-39.1 -29.2